{"formula": "YZrAl2", "functional": "PBE", "state": "optimized geometry", "spacegroup": "Cmmm (65)", "energy_ev_per_fu": -23.899, "delta_e_f_kj_per_mol_atoms": -33.8, "de_polymorph_mev_per_atom": 41.0, "cell": [[-2.9170, -0.0026, 4.3813], [7.1173, -0.8141, 0.0219], [1.6789, 2.4334, 1.1193]], "species": ["Al", "Y", "Zr", "Al"], "fractional_positions": [[0.0000, 0.0000, 0.0000], [0.5000, 0.5000, 0.0000], [0.5000, 0.0000, 0.5000], [0.0000, 0.5000, 0.5000]]}